# Pm2ScVO6, optimized geometry, DFT PBE+U
# Total moment in μB/atom: 0.200
# Total DFT energy (no corrections) in eV/atom: -8.452
data_Pm2ScVO6
_cell_length_a 5.512
_cell_length_b 5.760
_cell_length_c 9.662
_cell_angle_alpha 90.00
_cell_angle_beta 124.51
_cell_angle_gamma 90.00
_space_group_name_H-M_alt 'P 1 21/c 1'
_space_group_IT_number 14
_space_group_name_Hall '-P 2ybc'
loop_
_atom_site_label
_atom_site_type_symbol
_atom_site_fract_x
_atom_site_fract_y
_atom_site_fract_z
_atom_site_occupancy
Pm1 Pm 0.233 0.060 0.250 1
Sc1 Sc 0.500 0.000 0.000 1
V1 V 0.000 0.000 0.500 1
O1 O 0.137 0.204 0.943 1
O2 O 0.243 0.698 0.944 1
O3 O 0.355 0.038 0.747 1